The following is a DFT calculation (PBE) of a relaxed structure of AcPmTl.

abc: 4.9847 4.9847 8.6605
angles: 90.00 90.00 90.00
Space group P4/nmm (No. 129, origin choice 2)
Asymmetric unit:
Ac (0.2500, 0.2500, 0.1465)
Pm (0.2500, 0.7500, 0.5000)
Tl (0.2500, 0.2500, 0.7553)

Calculated values
As for the calculated total energy: -3.9955 eV/atom. As for the excess energy over the best structure of this formula in the dataset: 0 meV per atom.